1.
This record from Alexandria describes crystalline Cs2ScTe3O12 at its relaxed geometry. The functional is PBE.

Output
The spin magnetization is 2.9 μB/cell. Its crystal system is trigonal. As for the uncorrected energy: -0.2112 Ha/atom.

Lattice parameters (Å, degrees): 7.3867 7.3867 18.2825 90.00 90.00 120.00
Closest atoms and distances in Å follow each position.
Space group R-3m (No. 166, hexagonal axes)
Symmetry-distinct sites (fractional):
Cs 0.0000 0.0000 0.1270 (multiplicity 6)  6 O 3.19-3.22
Sc 0.0000 0.0000 0.5000 (multiplicity 3)  6 O 2.10
Te 0.0000 0.5000 0.0000 (multiplicity 9)  6 O 1.89-1.99
O 0.0637 0.5318 0.1008 (multiplicity 18)  1 Te 1.89, 1 Sc 2.10
O 0.0700 0.5350 0.3551 (multiplicity 18)  2 Te 1.99

---

2.
This record from Alexandria describes crystalline CaTl2P at its relaxed geometry. The functional is PBE.

Output
The spin magnetization is 0.0 μB/cell. The energy above the most stable polymorph in this dataset is 340 meV per atom. Its crystal system is trigonal. As for the uncorrected energy: -0.1128 Ha/atom.

Lattice parameters (Å, degrees): 4.0828 4.0828 23.4708 90.00 90.00 120.00
Closest atoms and distances in Å follow each position.
Space group R-3m (No. 166, hexagonal axes)
Symmetry-distinct sites (fractional):
Ca 0.0000 0.0000 0.0000 (multiplicity 3)  6 Tl 3.31
Tl 0.0000 0.0000 0.2342 (multiplicity 6)  3 P 2.84
P 0.0000 0.0000 0.5000 (multiplicity 3)  6 Tl 2.84

---

3.
This record from Alexandria describes crystalline Ac3La4MnN8 at its relaxed geometry. The functional is PBE.

Output
The spin magnetization is 7.7 μB/cell. Its crystal system is monoclinic. As for the uncorrected energy: -0.2819 Ha/atom.

Lattice parameters (Å, degrees): 13.3113 7.3420 7.3068 90.00 122.88 90.00
Closest atoms and distances in Å follow each position.
Space group C2/m (No. 12)
Symmetry-distinct sites (fractional):
Ac 0.0000 0.0000 0.0000 (multiplicity 2)  6 N 2.64-2.82
Ac 0.2500 0.2500 0.0000 (multiplicity 4)  6 N 2.64-2.82
La 0.0000 0.0000 0.5000 (multiplicity 2)  2 N 2.35
La 0.0000 0.5000 0.5000 (multiplicity 2)  6 N 2.57-2.77
La 0.2500 0.2500 0.5000 (multiplicity 4)  6 N 2.54-2.80
Mn 0.0000 0.5000 0.0000 (multiplicity 2)  4 N 2.28
N 0.0008 0.2831 0.2240 (multiplicity 8)  1 Mn 2.28
N 0.2102 0.0000 0.7029 (multiplicity 4)  3 La 2.35-2.59
N 0.2476 0.5000 0.7384 (multiplicity 4)  3 La 2.54-2.77, 3 Ac 2.64-2.82

---

4.
This record from Alexandria describes crystalline AgP2PbO6 at its relaxed geometry. The functional is PBE.

Output
The spin magnetization is 0.0 μB/cell. Its crystal system is monoclinic. As for the uncorrected energy: -0.2329 Ha/atom.

Lattice parameters (Å, degrees): 12.2885 10.9086 4.5721 90.00 91.58 90.00
Closest atoms and distances in Å follow each position.
Space group C2/c (No. 15)
Symmetry-distinct sites (fractional):
Ag 0.0000 0.0621 0.2500 (multiplicity 4)  2 Ag 2.66
P 0.2073 0.4111 0.2999 (multiplicity 8)  4 O 1.49-1.63
Pb 0.0000 0.2618 0.7500 (multiplicity 4)  6 O 2.61-2.87
O 0.1133 0.3260 0.2320 (multiplicity 8)  1 P 1.51
O 0.1782 0.1315 0.7338 (multiplicity 8)  1 P 1.49
O 0.1867 0.4585 0.6314 (multiplicity 8)  2 P 1.63

---

5.
This record from Alexandria describes crystalline BeCdW4 at its relaxed geometry. The functional is PBE.

Output
The spin magnetization is 0.0 μB/cell. Its crystal system is cubic. As for the uncorrected energy: -0.3127 Ha/atom.

Lattice parameters (Å, degrees): 7.5058 7.5058 7.5058 90.00 90.00 90.00
Closest atoms and distances in Å follow each position.
Space group F-43m (No. 216)
Symmetry-distinct sites (fractional):
Be 0.0000 0.0000 0.0000 (multiplicity 4)  12 W 3.11, 4 Cd 3.25
Cd 0.2500 0.2500 0.2500 (multiplicity 4)  12 W 3.11, 4 Be 3.25
W 0.1254 0.1254 0.6254 (multiplicity 16)  6 W 2.65-2.66

---

6.
This record from Alexandria describes crystalline CaTi6O12 at its relaxed geometry. The functional is PBE.

Output
The spin magnetization is 6.2 μB/cell. Its crystal system is trigonal. As for the uncorrected energy: -0.3184 Ha/atom.

Lattice parameters (Å, degrees): 9.3409 9.3409 8.3051 90.00 90.00 120.00
Closest atoms and distances in Å follow each position.
Space group R-3 (No. 148, hexagonal axes)
Symmetry-distinct sites (fractional):
Ca 0.0000 0.0000 0.0000 (multiplicity 3)  6 O 2.29
Ti 0.0296 0.2416 0.6469 (multiplicity 18)  4 O 1.92-1.97
O 0.0090 0.2239 0.8772 (multiplicity 18)  2 Ti 1.92
O 0.0239 0.1928 0.3783 (multiplicity 18)  2 Ti 1.96-1.97

---

7.
This record from Alexandria describes crystalline MnSiTc at its relaxed geometry. The functional is PBE.

Output
The spin magnetization is 0.0 μB/cell. The energy above the most stable polymorph in this dataset is 0 meV per atom. Its crystal system is tetragonal. As for the uncorrected energy: -0.3185 Ha/atom.

Lattice parameters (Å, degrees): 2.8433 2.8433 9.0346 90.00 90.00 90.00
Closest atoms and distances in Å follow each position.
Space group I4mm (No. 107)
Symmetry-distinct sites (fractional):
Mn 0.0000 0.0000 0.0000 (multiplicity 2)  4 Si 2.40, 4 Tc 2.58
Si 0.0000 0.0000 0.6459 (multiplicity 2)  4 Mn 2.40, 4 Tc 2.56
Tc 0.0000 0.0000 0.3217 (multiplicity 2)  4 Si 2.56, 4 Mn 2.58, 4 Tc 2.84

---

8.
This record from Alexandria describes crystalline AgBr3 at its relaxed geometry. The functional is PBE.

Output
The spin magnetization is 0.0 μB/cell. Its crystal system is orthorhombic. As for the uncorrected energy: -0.0746 Ha/atom.

Lattice parameters (Å, degrees): 5.5603 12.8462 8.2692 90.00 90.00 90.00
Closest atoms and distances in Å follow each position.
Space group Pnma (No. 62)
Symmetry-distinct sites (fractional):
Ag 0.0689 0.2500 0.0813 (multiplicity 4)  5 Br 2.61-2.90
Br 0.0726 0.2500 0.7655 (multiplicity 4)  1 Ag 2.61, 2 Br 2.79
Br 0.2274 0.5910 0.7684 (multiplicity 8)  2 Br 2.80, 2 Ag 2.80-2.90

---

9.
This record from Alexandria describes crystalline NaSb6S8 at its relaxed geometry. The functional is PBE.

Output
The spin magnetization is 0.0 μB/cell. Its crystal system is trigonal. As for the uncorrected energy: -0.1509 Ha/atom.

Lattice parameters (Å, degrees): 9.3761 9.3761 16.2711 90.00 90.00 120.00
Closest atoms and distances in Å follow each position.
Space group R-3 (No. 148, hexagonal axes)
Symmetry-distinct sites (fractional):
Na 0.0000 0.0000 0.0000 (multiplicity 3)  6 S 2.99
Sb 0.0298 0.2388 0.5943 (multiplicity 18)  3 S 2.47-2.73
S 0.0000 0.0000 0.3118 (multiplicity 6)  3 Sb 2.61
S 0.0001 0.2898 0.0773 (multiplicity 18)  2 Sb 2.47-2.73

---

Please write out number 4 again, unchanged.
This record from Alexandria describes crystalline AgP2PbO6 at its relaxed geometry. The functional is PBE.

Output
The spin magnetization is 0.0 μB/cell. Its crystal system is monoclinic. As for the uncorrected energy: -0.2329 Ha/atom.

Lattice parameters (Å, degrees): 12.2885 10.9086 4.5721 90.00 91.58 90.00
Closest atoms and distances in Å follow each position.
Space group C2/c (No. 15)
Symmetry-distinct sites (fractional):
Ag 0.0000 0.0621 0.2500 (multiplicity 4)  2 Ag 2.66
P 0.2073 0.4111 0.2999 (multiplicity 8)  4 O 1.49-1.63
Pb 0.0000 0.2618 0.7500 (multiplicity 4)  6 O 2.61-2.87
O 0.1133 0.3260 0.2320 (multiplicity 8)  1 P 1.51
O 0.1782 0.1315 0.7338 (multiplicity 8)  1 P 1.49
O 0.1867 0.4585 0.6314 (multiplicity 8)  2 P 1.63